i:
Computed, not measured: a relaxed PmPrSeI crystal at the PBE level of DFT.

Cell lengths 7.5508, 7.5508, 7.5508 Å; angles 90.00, 90.00, 90.00 degrees
Space group F-43m (No. 216)
Asymmetric unit:
Pm  0.0000  0.0000  0.0000 [4 per cell]
Pr  0.0000  0.0000  0.5000 [4 per cell]
Se  0.2500  0.2500  0.2500 [4 per cell]
I  0.2500  0.2500  0.7500 [4 per cell]

Output
Crystal system: cubic



ii:
Computed, not measured: a relaxed PmPrSeI crystal at the PBE level of DFT.

Cell lengths 7.1406, 4.1255, 8.4740 Å; angles 90.00, 106.24, 90.00 degrees
Space group Cm (No. 8)
Asymmetric unit:
Pm  0.0000  0.0000  0.0000 [2 per cell]
Pr  0.1954  0.0000  0.5859 [2 per cell]
Se  0.0991  0.5000  0.7967 [2 per cell]
I  0.4288  0.0000  0.2864 [2 per cell]

Output
Crystal system: monoclinic



Result of the stability comparison: ii is the most stable of them.



i:
Computed, not measured: a relaxed PmPuI6 crystal at the PBE level of DFT.

Cell lengths 7.7353, 7.7353, 21.4134 Å; angles 90.00, 90.00, 120.00 degrees
Space group R-3 (No. 148, hexagonal axes)
Asymmetric unit:
Pm  0.0000  0.0000  0.0000 [3 per cell]
Pu  0.0000  0.0000  0.5000 [3 per cell]
I  0.0025  0.3417  0.2507 [18 per cell]

Output
Crystal system: trigonal



ii:
Computed, not measured: a relaxed PmPuI6 crystal at the PBE level of DFT.

Cell lengths 7.6718, 14.2550, 7.6603 Å; angles 90.00, 107.87, 90.00 degrees
Space group C2/m (No. 12)
Asymmetric unit:
Pm  0.0000  0.0000  0.0000 [2 per cell]
Pu  0.0000  0.5000  0.5000 [2 per cell]
I  0.2492  0.1504  0.2509 [8 per cell]
I  0.2485  0.5000  0.2497 [4 per cell]

Output
Crystal system: monoclinic



Result of the stability comparison: ii is the most stable of them.



i:
Computed, not measured: a relaxed Rb2PmI6 crystal at the PBE level of DFT.

Cell lengths 4.9002, 16.5264, 9.5000 Å; angles 90.00, 90.00, 90.00 degrees
Space group Amm2 (No. 38)
Asymmetric unit:
Rb  0.0000  0.1672  0.0000 [4 per cell]
Pm  0.5000  0.0000  0.5018 [2 per cell]
I  0.0000  0.0000  0.7358 [2 per cell]
I  0.0000  0.1165  0.3840 [4 per cell]
I  0.5000  0.0000  0.1450 [2 per cell]
I  0.5000  0.1786  0.6787 [4 per cell]

Output
Crystal system: orthorhombic



ii:
Computed, not measured: a relaxed Rb2PmI6 crystal at the PBE level of DFT.

Cell lengths 18.0013, 8.9876, 5.7099 Å; angles 90.00, 108.44, 90.00 degrees
Space group C2/m (No. 12)
Asymmetric unit:
Rb  0.1679  0.0000  0.1677 [4 per cell]
Pm  0.0000  0.5000  0.5000 [2 per cell]
I  0.0000  0.2962  0.0000 [4 per cell]
I  0.1462  0.2741  0.6459 [8 per cell]

Output
Crystal system: monoclinic



Result of the stability comparison: i is the most stable of them.



i:
Computed, not measured: a relaxed Pm2RhI crystal at the PBE level of DFT.

Cell lengths 4.1555, 4.1555, 24.3091 Å; angles 90.00, 90.00, 120.00 degrees
Space group R-3m (No. 166, hexagonal axes)
Asymmetric unit:
Pm  0.0000  0.0000  0.2282 [6 per cell]
Rh  0.0000  0.0000  0.5000 [3 per cell]
I  0.0000  0.0000  0.0000 [3 per cell]

Output
Crystal system: trigonal



ii:
Computed, not measured: a relaxed Pm2RhI crystal at the PBE level of DFT.

Cell lengths 3.5727, 3.5727, 8.4270 Å; angles 90.00, 90.00, 90.00 degrees
Space group P4/mmm (No. 123)
Asymmetric unit:
Pm  0.0000  0.0000  0.2039 [2 per cell]
Rh  0.5000  0.5000  0.0000 [1 per cell]
I  0.5000  0.5000  0.5000 [1 per cell]

Output
Crystal system: tetragonal



iii:
Computed, not measured: a relaxed Pm2RhI crystal at the PBE level of DFT.

Cell lengths 3.6232, 3.6232, 30.8825 Å; angles 90.00, 90.00, 120.00 degrees
Space group R-3m (No. 166, hexagonal axes)
Asymmetric unit:
Pm  0.0000  0.0000  0.0825 [6 per cell]
Rh  0.0000  0.0000  0.0000 [3 per cell]
I  0.0000  0.0000  0.5000 [3 per cell]

Output
Crystal system: trigonal



Result of the stability comparison: i is the most stable of them.



i:
Computed, not measured: a relaxed Pm4Ru2I5 crystal at the PBE level of DFT.

Cell lengths 22.7300, 4.2193, 8.7634 Å; angles 90.00, 96.50, 90.00 degrees
Space group C2/m (No. 12)
Asymmetric unit:
Pm  0.0283  0.0000  0.2091 [4 per cell]
Pm  0.1602  0.5000  0.0772 [4 per cell]
Ru  0.0536  0.5000  0.0029 [4 per cell]
I  0.0000  0.5000  0.5000 [2 per cell]
I  0.1648  0.0000  0.3521 [4 per cell]
I  0.1940  0.0000  0.8278 [4 per cell]

Output
Crystal system: monoclinic



ii:
Computed, not measured: a relaxed Pm4Ru2I5 crystal at the PBE level of DFT.

Cell lengths 4.2521, 8.8122, 20.1734 Å; angles 90.00, 90.00, 90.00 degrees
Space group Immm (No. 71)
Asymmetric unit:
Pm  0.0000  0.0000  0.1787 [4 per cell]
Pm  0.0000  0.2955  0.5000 [4 per cell]
Ru  0.0000  0.0000  0.0594 [4 per cell]
I  0.0000  0.2244  0.3326 [8 per cell]
I  0.0000  0.5000  0.0000 [2 per cell]

Output
Crystal system: orthorhombic



Result of the stability comparison: i is the most stable of them.



i:
Computed, not measured: a relaxed Pm2SbI crystal at the PBE level of DFT.

Cell lengths 4.3694, 4.3694, 23.8402 Å; angles 90.00, 90.00, 120.00 degrees
Space group R3m (No. 160, hexagonal axes)
Asymmetric unit:
Pm  0.0000  0.0000  0.0000 [3 per cell]
Pm  0.0000  0.0000  0.1886 [3 per cell]
Sb  0.0000  0.0000  0.5954 [3 per cell]
I  0.0000  0.0000  0.4266 [3 per cell]

Output
Crystal system: trigonal



ii:
Computed, not measured: a relaxed Pm2SbI crystal at the PBE level of DFT.

Cell lengths 7.7580, 7.7580, 7.7580 Å; angles 90.00, 90.00, 90.00 degrees
Space group Fm-3m (No. 225)
Asymmetric unit:
Pm  0.2500  0.2500  0.2500 [8 per cell]
Sb  0.0000  0.0000  0.0000 [4 per cell]
I  0.0000  0.0000  0.5000 [4 per cell]

Output
Crystal system: cubic



Result of the stability comparison: i is the most stable of them.